Material: Rb3V2CuO8
Method: DFT, GGA+U
State: relaxed

a = 5.8085 Å, b = 5.8085 Å, c = 7.8876 Å
α = 90.00°, β = 90.00°, γ = 120.00°
Space group P-3m1 (No. 164)
Inequivalent atoms, fractional coordinates:
Rb  0.0000  0.0000  0.0000 [1 per cell]
Rb  0.3333  0.6667  0.7201 [2 per cell]
V  0.3333  0.6667  0.2855 [2 per cell]
Cu  0.0000  0.0000  0.5000 [1 per cell]
O  0.1653  0.3307  0.3498 [6 per cell]
O  0.3333  0.6667  0.0709 [2 per cell]

V (Å³/cell): 230.5
Spin magnetization (μB per atom): 0.14
E_tot (Ry per atom): -0.441